TbPaRh4 after structural relaxation, computed with GGA-PBE.

Formation enthalpy at 0 K in meV/atom: -632
Calculated volume in Å³/atom: 18.9

Lattice parameters (Å, degrees): 3.9213 6.9965 16.5103 90.00 90.00 90.00
With the nearest neighbours (Å) after each atom.
Element x y z (fractional)
Rh: 0.2500 0.1427 0.8199  1 Pa 2.66, 2 Rh 2.86, 2 Tb 2.91
Rh: 0.7500 0.0358 0.9373  3 Pa 2.73-2.82, 7 Rh 2.86-2.92, 1 Tb 2.91
Rh: 0.7500 0.7604 0.4136  2 Pa 2.80, 5 Rh 2.88-2.92, 2 Tb 2.92
Pa: 0.2500 0.2986 0.9668  8 Rh 2.66-2.82
Tb: 0.7500 0.3185 0.7130  9 Rh 2.82-3.05
Tb: 0.2500 0.1815 0.2130  9 Rh 2.82-3.05
Rh: 0.2500 0.9642 0.0627  3 Pa 2.73-2.82, 7 Rh 2.86-2.92, 1 Tb 2.91
Rh: 0.7500 0.9539 0.6260  2 Pa 2.72, 2 Tb 2.82-2.93, 2 Rh 2.88
Rh: 0.7500 0.8573 0.1801  1 Pa 2.66, 2 Rh 2.86, 2 Tb 2.91
Rh: 0.7500 0.2604 0.0864  2 Pa 2.80, 5 Rh 2.88-2.92, 2 Tb 2.92
Rh: 0.2500 0.4642 0.4373  3 Pa 2.73-2.82, 7 Rh 2.86-2.92, 1 Tb 2.91
Rh: 0.2500 0.2396 0.5864  2 Pa 2.80, 5 Rh 2.88-2.92, 2 Tb 2.92
Rh: 0.2500 0.7396 0.9136  2 Pa 2.80, 5 Rh 2.88-2.92, 2 Tb 2.92
Rh: 0.7500 0.3573 0.3199  1 Pa 2.66, 2 Rh 2.86, 2 Tb 2.91
Pa: 0.7500 0.7014 0.0332  8 Rh 2.66-2.82
Pa: 0.7500 0.2014 0.4668  8 Rh 2.66-2.82
Rh: 0.7500 0.5358 0.5627  3 Pa 2.73-2.82, 7 Rh 2.86-2.92, 1 Tb 2.91
Rh: 0.7500 0.4539 0.8740  2 Pa 2.72, 2 Tb 2.82-2.93, 2 Rh 2.88
Rh: 0.2500 0.6427 0.6801  1 Pa 2.66, 2 Rh 2.86, 2 Tb 2.91
Rh: 0.2500 0.0461 0.3740  2 Pa 2.72, 2 Tb 2.82-2.93, 2 Rh 2.88
Rh: 0.2500 0.5461 0.1260  2 Pa 2.72, 2 Tb 2.82-2.93, 2 Rh 2.88
Tb: 0.7500 0.8185 0.7870  9 Rh 2.82-3.05
Tb: 0.2500 0.6815 0.2870  9 Rh 2.82-3.05
Pa: 0.2500 0.7986 0.5332  8 Rh 2.66-2.82

Na8HgO2 after structural relaxation, computed with GGA-PBE.

Calculated volume in Å³/atom: 25.9
Total energy in eV for the cell shown: -27.65

Lattice parameters (Å, degrees): 7.0487 6.3858 6.3858 96.80 90.48 90.48
With the nearest neighbours (Å) after each atom.
Element x y z (fractional)
O: 0.5909 0.2496 0.6390  6 Na 2.27-2.35
Na: 0.8614 0.7192 0.0831  1 O 2.27
Hg: 0.0928 0.1752 0.1752  6 Na 3.31-3.38
O: 0.5909 0.6390 0.2496  6 Na 2.27-2.35
Na: 0.8614 0.0831 0.7192  1 O 2.27
Na: 0.3190 0.7130 0.0779  1 O 2.28
Na: 0.3190 0.0779 0.7130  1 O 2.28
Na: 0.3942 0.4799 0.4799  2 O 2.34
Na: 0.5903 0.9946 0.3531  2 O 2.29-2.30
Na: 0.7903 0.4814 0.4814  2 O 2.35
Na: 0.5903 0.3531 0.9946  2 O 2.29-2.30

PmHoTm after structural relaxation, computed with GGA-PBE.

Formation enthalpy at 0 K in meV/atom: 244
Calculated volume in Å³/atom: 33.5

Lattice parameters (Å, degrees): 4.8446 4.8446 8.5761 90.00 90.00 90.00
With the nearest neighbours (Å) after each atom.
Element x y z (fractional)
Tm: 0.5000 0.0000 0.3001  5 Ho 3.41-3.43, 4 Pm 3.53
Ho: 0.0000 0.5000 0.3027  5 Tm 3.41-3.43, 4 Pm 3.55
Pm: 0.0000 0.0000 0.0000  4 Pm 3.43, 4 Tm 3.53, 4 Ho 3.55
Tm: 0.0000 0.5000 0.6999  5 Ho 3.41-3.43, 4 Pm 3.53
Pm: 0.5000 0.5000 0.0000  4 Pm 3.43, 4 Tm 3.53, 4 Ho 3.55
Ho: 0.5000 0.0000 0.6973  5 Tm 3.41-3.43, 4 Pm 3.55

NdDy2Th after structural relaxation, computed with GGA-PBE.

Formation enthalpy at 0 K in meV/atom: 44
Calculated volume in Å³/atom: 32.5

Lattice parameters (Å, degrees): 5.0098 5.0921 5.0921 90.00 90.00 90.00
With the nearest neighbours (Å) after each atom.
Element x y z (fractional)
Nd: 0.5000 0.0000 0.0000  8 Dy 3.57, 4 Th 3.60
Dy: 0.0000 0.5000 0.0000  4 Th 3.57, 4 Nd 3.57, 4 Dy 3.60
Dy: 0.0000 0.0000 0.5000  4 Th 3.57, 4 Nd 3.57, 4 Dy 3.60
Th: 0.5000 0.5000 0.5000  8 Dy 3.57, 4 Nd 3.60

Pm2Pd2Pb3 after structural relaxation, computed with GGA-PBE.

Formation enthalpy at 0 K in meV/atom: -524
Calculated volume in Å³/atom: 25.7

Lattice parameters (Å, degrees): 4.4839 5.6619 8.1920 107.99 90.00 113.33
With the nearest neighbours (Å) after each atom.
Element x y z (fractional)
Pm: 0.1463 0.2926 0.8125  4 Pd 3.04-3.28, 2 Pb 3.36
Pd: 0.1667 0.3334 0.2203  5 Pb 2.88-3.03, 3 Pm 3.04-3.17
Pb: 0.6268 0.2536 0.4416  3 Pd 2.88-3.00, 1 Pb 3.09
Pm: 0.8537 0.7074 0.1875  4 Pd 3.04-3.28, 2 Pb 3.36
Pb: 0.3732 0.7464 0.5584  3 Pd 2.88-3.00, 1 Pb 3.09
Pb: 0.5000 0.0000 0.0000  4 Pd 3.03, 4 Pm 3.36
Pd: 0.8333 0.6666 0.7797  5 Pb 2.88-3.03, 3 Pm 3.04-3.17

HgGeP after structural relaxation, computed with GGA-PBE.

Formation enthalpy at 0 K in meV/atom: 101
Calculated volume in Å³/atom: 22.1

Lattice parameters (Å, degrees): 3.6977 3.6977 5.5883 90.00 90.00 120.00
With the nearest neighbours (Å) after each atom.
Element x y z (fractional)
Ge: 0.3333 0.6667 0.6011  3 P 2.42
P: 0.6667 0.3333 0.3957  3 Ge 2.42
Hg: 0.0000 0.0000 0.0031  3 P 3.06, 3 Ge 3.10